1.
K3As2F9: optimized geometry, PBE-GGA.

Summary:
* size of the total moment: 0.00 μB/f.u.
* formation energy (no corrections): -3293.7 kJ/mol of formula units
* calculated density: 2.84 g/cm3
* D(E_F): 0.000 states/eV per atom

```
data_K3As2F9
_cell_length_a 6.3189
_cell_length_b 6.3189
_cell_length_c 7.4198
_cell_angle_alpha 90.00
_cell_angle_beta 90.00
_cell_angle_gamma 120.00
_symmetry_space_group_name_H-M 'P -3 m 1'
_symmetry_Int_Tables_number 164
_symmetry_space_group_name_Hall '-P 3 2"'
loop_
_atom_site_label
_atom_site_type_symbol
_atom_site_fract_x
_atom_site_fract_y
_atom_site_fract_z
K1 K 0.0000 0.0000 0.0000
K2 K 0.3333 0.6667 0.3385
As1 As 0.3333 0.6667 0.8233
F1 F 0.0000 0.5000 0.0000
F2 F 0.1918 0.3835 0.6740
```


2.
Tl2In7Bi2: optimized geometry, PBE-GGA.

Summary:
* size of the total moment: 0.00 μB/f.u.
* calculated density: 7.95 g/cm3
* D(E_F): 0.368 states/eV per atom
* formation energy: 0.052 eV per atom

```
data_Tl2In7Bi2
_cell_length_a 10.807
_cell_length_b 9.368
_cell_length_c 6.805
_cell_angle_alpha 90.00
_cell_angle_beta 98.66
_cell_angle_gamma 90.00
_symmetry_space_group_name_H-M 'C 1 2/m 1'
_symmetry_Int_Tables_number 12
loop_
_symmetry_equiv_pos_as_xyz
'x,y,z'
'-x,-y,-z'
'-x,y,-z'
'x,-y,z'
'x+1/2,y+1/2,z'
'-x+1/2,-y+1/2,-z'
'-x+1/2,y+1/2,-z'
'x+1/2,-y+1/2,z'
loop_
_atom_site_label
_atom_site_type_symbol
_atom_site_fract_x
_atom_site_fract_y
_atom_site_fract_z
Tl1 Tl 0.000 0.202 0.000
In1 In 0.000 0.500 0.500
In2 In 0.138 0.194 0.599
In3 In 0.227 0.000 0.273
Bi1 Bi 0.175 0.500 0.125
```


3.
Sc2BeNbMo: optimized geometry, PBE-GGA.

Summary:
* size of the total moment: 0.00 μB/f.u.
* excess energy over the best structure of this formula in the dataset: 379 meV per atom
* calculated density: 4.66 g/cm3
* D(E_F): 1.188 states/eV per atom
* formation energy: 1.412 eV per atom

```
data_Sc2BeNbMo
_cell_length_a 4.880
_cell_length_b 4.880
_cell_length_c 4.304
_cell_angle_alpha 90.00
_cell_angle_beta 90.00
_cell_angle_gamma 90.00
_symmetry_space_group_name_H-M 'P 4/m m m'
_symmetry_Int_Tables_number 123
_symmetry_space_group_name_Hall '-P 4 2'
loop_
_atom_site_label
_atom_site_type_symbol
_atom_site_fract_x
_atom_site_fract_y
_atom_site_fract_z
Sc1 Sc 0.000 0.500 0.000
Be1 Be 0.000 0.000 0.500
Nb1 Nb 0.000 0.000 0.000
Mo1 Mo 0.500 0.500 0.500
```


Among the records above, which one has the lowest D(E_F)?
K3As2F9